# 1
The following is a GGA-PBE calculation of a geometry-optimized Ba2InH structure, from Alexandria.

a b c (Å): 4.2918 4.2918 25.7751
angles (deg): 90.00 90.00 120.00
Last column: nearest neighbours and their distance in Å.
Space group R3m (No. 160, hexagonal axes)
Inequivalent atoms, fractional coordinates:
Ba 0.0000 0.0000 0.0000 (multiplicity 3)  3 H 3.02
Ba 0.0000 0.0000 0.1993 (multiplicity 3)  3 H 3.02
In 0.0000 0.0000 0.4322 (multiplicity 3)  6 Ba 3.55-3.58
H 0.0000 0.0000 0.5995 (multiplicity 3)  6 Ba 3.02

Computed properties:
Mass density   4.7 g/cm3
Relative energy among the computed polymorphs   0.114 eV per atom



# 2
The following is a GGA-PBE calculation of a geometry-optimized Ba2InH structure, from Alexandria.

a b c (Å): 8.2436 8.2436 8.2436
angles (deg): 90.00 90.00 90.00
Last column: nearest neighbours and their distance in Å.
Space group Fm-3m (No. 225)
Inequivalent atoms, fractional coordinates:
Ba 0.2500 0.2500 0.2500 (multiplicity 8)  4 H 3.57, 4 In 3.57
In 0.0000 0.0000 0.0000 (multiplicity 4)  8 Ba 3.57
H 0.0000 0.0000 0.5000 (multiplicity 4)  8 Ba 3.57

Computed properties:
Mass density   4.6 g/cm3
Relative energy among the computed polymorphs   0.318 eV per atom



# 3
The following is a GGA-PBE calculation of a geometry-optimized Ba2InH structure, from Alexandria.

a b c (Å): 3.8264 3.8264 8.5886
angles (deg): 90.00 90.00 90.00
Last column: nearest neighbours and their distance in Å.
Space group P4/mmm (No. 123)
Inequivalent atoms, fractional coordinates:
Ba 0.0000 0.0000 0.2227 (multiplicity 2)  4 H 3.31, 4 In 3.60
In 0.5000 0.5000 0.5000 (multiplicity 1)  8 Ba 3.60, 4 In 3.83
H 0.5000 0.5000 0.0000 (multiplicity 1)  8 Ba 3.31

Computed properties:
Mass density   5.2 g/cm3
Relative energy among the computed polymorphs   0.139 eV per atom